Cs3CuCl4: optimized geometry, GGA-PBE.

The space group is I-43m (No. 217) and the conventional cell measures 8.2734, 8.2734 and 8.2734 Å, with angles of 90.00, 90.00 and 90.00 degrees. The distinct sites, in fractional coordinates, are Cs at (0.0000, 0.0000, 0.5000), Cu at (0.0000, 0.0000, 0.0000) and Cl at (0.1681, 0.1681, 0.8319).

The value obtained for the energy is -52.2 eV for the cell shown. The energy above the most stable polymorph in this dataset is 0.044 eV/atom. As for the volume: 35.394 Å³ per atom.